Computed, not measured: LiOsC3 after structural relaxation at the PBE level of DFT.

Properties
The formation energy from the elements comes out at 7.70 eV/f.u. The total energy is -6.62 eV/atom. The energy above the most stable polymorph in this dataset comes out at 0 meV per atom. Its density of states at the Fermi level is 2.56 states/eV/f.u. Its spin magnetization is 0.0 Bohr magnetons per cell.

abc: 3.9823 3.9823 3.9823
angles: 90.00 90.00 90.00
Element x y z (fractional)
Li 0.0000 0.0000 0.0000
Os 0.5000 0.5000 0.5000
C 0.0000 0.5000 0.5000
C 0.5000 0.0000 0.5000
C 0.5000 0.5000 0.0000

=====

Computed, not measured: LiOsC2 after structural relaxation at the PBE level of DFT.

Properties
The formation energy from the elements comes out at 3.00 eV/f.u. The total energy is -7.15 eV/atom. The energy above the most stable polymorph in this dataset comes out at 0 meV per atom. Its density of states at the Fermi level is 2.09 states/eV/f.u. Its spin magnetization is 0.0 Bohr magnetons per cell.

abc: 5.8316 5.8316 5.8316
angles: 130.16 130.16 73.15
Element x y z (fractional)
Li 0.0000 0.0000 0.0000
Li 0.7500 0.2500 0.5000
Os 0.2500 0.7500 0.5000
Os 0.5000 0.5000 0.0000
C 0.2043 0.6250 0.0793
C 0.3750 0.4543 0.5793
C 0.5457 0.1250 0.9207
C 0.8750 0.7957 0.4207

=====

Computed, not measured: LiOsC3 after structural relaxation at the PBE level of DFT.

Properties
The formation energy from the elements comes out at 15.10 eV/f.u. The total energy is -5.14 eV/atom. The energy above the most stable polymorph in this dataset comes out at 1481 meV per atom. Its density of states at the Fermi level is 3.80 states/eV/f.u. Its spin magnetization is 0.0 Bohr magnetons per cell.

abc: 3.5457 3.5457 3.5457
angles: 90.00 90.00 90.00
Element x y z (fractional)
Li 0.0000 0.0000 0.0000
Os 0.5000 0.5000 0.5000
C 0.0000 0.0000 0.5000
C 0.0000 0.5000 0.0000
C 0.5000 0.0000 0.0000

=====

Computed, not measured: LiOs3C after structural relaxation at the PBE level of DFT.

Properties
The formation energy from the elements comes out at 13.96 eV/f.u. The total energy is -6.17 eV/atom. The energy above the most stable polymorph in this dataset comes out at 2247 meV per atom. Its density of states at the Fermi level is 7.76 states/eV/f.u. Its spin magnetization is 0.0 Bohr magnetons per cell.

abc: 4.0693 4.0693 4.0693
angles: 90.00 90.00 90.00
Element x y z (fractional)
Li 0.0000 0.0000 0.0000
Os 0.0000 0.0000 0.5000
Os 0.0000 0.5000 0.0000
Os 0.5000 0.0000 0.0000
C 0.5000 0.5000 0.5000